[1]
Entry from the Alexandria database: a crystal of Ba3WI relaxed with PBEsol (meta-GGA SCAN).

Values from the calculation:
- Formation energy without anion corrections: 0.880 eV per atom

Unit cell a=6.3550 b=6.3550 c=6.3550 alpha=90.00 beta=90.00 gamma=90.00
Last column: nearest neighbours and their distance in Å.
Space group Pm-3m (No. 221)
Asymmetric unit:
Ba  0.0000  0.0000  0.5000  2 I 3.18
W  0.5000  0.5000  0.5000  12 Ba 4.49
I  0.0000  0.0000  0.0000  6 Ba 3.18

---

[2]
Entry from the Alexandria database: a crystal of Mg2ScCd relaxed with PBEsol (meta-GGA SCAN).

Values from the calculation:
- ΔH_f (0 K): -0.5 eV per formula unit

Unit cell a=3.1368 b=4.9158 c=5.7042 alpha=90.00 beta=98.80 gamma=90.00
Last column: nearest neighbours and their distance in Å.
Space group P2/m (No. 10)
Asymmetric unit:
Mg  0.1602  0.0000  0.2542  2 Cd 2.91, 5 Mg 2.92-3.25, 2 Sc 3.12
Sc  0.5000  0.5000  0.0000  2 Cd 3.04, 8 Mg 3.12-3.39, 2 Sc 3.14
Cd  0.0000  0.5000  0.5000  4 Mg 2.91, 2 Sc 3.04, 2 Cd 3.14

---

[3]
Entry from the Alexandria database: a crystal of KCd2 relaxed with PBEsol (meta-GGA SCAN).

Values from the calculation:
- ΔH_f (0 K): -0.1 eV per formula unit

Unit cell a=3.4800 b=4.2348 c=12.1704 alpha=90.00 beta=90.00 gamma=90.00
Last column: nearest neighbours and their distance in Å.
Space group Immm (No. 71)
Asymmetric unit:
K  0.0000  0.0000  0.0000  2 K 3.48, 10 Cd 3.58-3.72
Cd  0.0000  0.0000  0.2938  4 Cd 2.94

---

Taking the records one at a time from the top gives total magnetization values of 7.7; 0.2; 0.0 Bohr magnetons per cell.
Taking the records one at a time from the top gives ρ values of 4.68; 3.93; 4.89 g/cm3.